1.
Material: Dy6AlS4
Method: DFT, PBE
State: optimized geometry

a = 6.820 Å, b = 6.820 Å, c = 19.979 Å
α = 90.00°, β = 90.00°, γ = 146.82°
Positions (direct):
Dy (0.000, 0.000, 0.000)
Dy (0.000, 0.000, 0.500)
Dy (0.159, 0.841, 0.750)
Dy (0.272, 0.728, 0.086)
Dy (0.272, 0.728, 0.414)
Dy (0.456, 0.544, 0.661)
Dy (0.456, 0.544, 0.839)
Dy (0.544, 0.456, 0.161)
Dy (0.544, 0.456, 0.339)
Dy (0.728, 0.272, 0.586)
Dy (0.728, 0.272, 0.914)
Dy (0.841, 0.159, 0.250)
Al (0.166, 0.834, 0.250)
Al (0.834, 0.166, 0.750)
S (0.091, 0.909, 0.622)
S (0.091, 0.909, 0.878)
S (0.362, 0.638, 0.539)
S (0.362, 0.638, 0.961)
S (0.638, 0.362, 0.039)
S (0.638, 0.362, 0.461)
S (0.909, 0.091, 0.122)
S (0.909, 0.091, 0.378)

Output
E_form (uncorrected) = -1.539 eV/atom

=====

2.
Material: Tb4HoP5
Method: DFT, PBE
State: optimized geometry

a = 6.964 Å, b = 6.964 Å, c = 6.964 Å
α = 99.59°, β = 99.59°, γ = 131.81°
Positions (direct):
Tb (0.100, 0.300, 0.400)
Tb (0.300, 0.900, 0.200)
Tb (0.700, 0.100, 0.800)
Tb (0.900, 0.700, 0.600)
Ho (0.500, 0.500, 0.000)
P (0.000, 0.000, 0.000)
P (0.201, 0.600, 0.801)
P (0.400, 0.201, 0.602)
P (0.600, 0.799, 0.398)
P (0.799, 0.400, 0.199)

Output
E_form = -1.61 eV/atom

=====

3.
Material: Ac4EuDy
Method: DFT, PBE
State: optimized geometry

a = 7.270 Å, b = 7.270 Å, c = 7.270 Å
α = 60.00°, β = 60.00°, γ = 60.00°
Positions (direct):
Ac (0.124, 0.124, 0.124)
Ac (0.124, 0.124, 0.629)
Ac (0.124, 0.629, 0.124)
Ac (0.629, 0.124, 0.124)
Eu (0.500, 0.500, 0.500)
Dy (0.750, 0.750, 0.750)

Output
E_form = 0.30 eV/atom

=====

4.
Material: BaCa3Ag
Method: DFT, PBE
State: optimized geometry

a = 5.845 Å, b = 5.845 Å, c = 5.845 Å
α = 90.00°, β = 90.00°, γ = 90.00°
Positions (direct):
Ba (0.000, 0.000, 0.000)
Ca (0.000, 0.000, 0.500)
Ca (0.000, 0.500, 0.000)
Ca (0.500, 0.000, 0.000)
Ag (0.500, 0.500, 0.500)

Output
E_form = 1.12 eV/atom
excess energy over the best structure of this formula in the dataset = 1228.7 meV per atom

=====

5.
Material: NiP
Method: DFT, PBE
State: optimized geometry

a = 4.942 Å, b = 17.094 Å, c = 5.970 Å
α = 90.00°, β = 90.00°, γ = 90.00°
Positions (direct):
Ni (0.001, 0.250, 0.197)
Ni (0.018, 0.040, 0.309)
Ni (0.018, 0.460, 0.309)
Ni (0.032, 0.165, 0.808)
Ni (0.032, 0.335, 0.808)
Ni (0.468, 0.665, 0.308)
Ni (0.468, 0.835, 0.308)
Ni (0.482, 0.540, 0.809)
Ni (0.482, 0.960, 0.809)
Ni (0.499, 0.750, 0.697)
Ni (0.501, 0.250, 0.303)
Ni (0.518, 0.040, 0.191)
Ni (0.518, 0.460, 0.191)
Ni (0.532, 0.165, 0.692)
Ni (0.532, 0.335, 0.692)
Ni (0.968, 0.665, 0.192)
Ni (0.968, 0.835, 0.192)
Ni (0.982, 0.540, 0.691)
Ni (0.982, 0.960, 0.691)
Ni (0.999, 0.750, 0.803)
P (0.155, 0.750, 0.441)
P (0.170, 0.046, 0.944)
P (0.170, 0.454, 0.944)
P (0.197, 0.154, 0.438)
P (0.197, 0.346, 0.438)
P (0.303, 0.654, 0.938)
P (0.303, 0.846, 0.938)
P (0.330, 0.546, 0.444)
P (0.330, 0.954, 0.444)
P (0.345, 0.250, 0.941)
P (0.655, 0.750, 0.059)
P (0.670, 0.046, 0.556)
P (0.670, 0.454, 0.556)
P (0.697, 0.154, 0.062)
P (0.697, 0.346, 0.062)
P (0.803, 0.654, 0.562)
P (0.803, 0.846, 0.562)
P (0.830, 0.546, 0.056)
P (0.830, 0.954, 0.056)
P (0.845, 0.250, 0.559)

Output
E_form = -0.43 eV/atom

=====

6.
Material: PuScAgOs
Method: DFT, PBE
State: optimized geometry

a = 6.821 Å, b = 6.821 Å, c = 6.821 Å
α = 90.00°, β = 90.00°, γ = 90.00°
Positions (direct):
Pu (0.000, 0.000, 0.000)
Pu (0.000, 0.500, 0.500)
Pu (0.500, 0.000, 0.500)
Pu (0.500, 0.500, 0.000)
Sc (0.000, 0.000, 0.500)
Sc (0.000, 0.500, 0.000)
Sc (0.500, 0.000, 0.000)
Sc (0.500, 0.500, 0.500)
Ag (0.250, 0.250, 0.250)
Ag (0.250, 0.750, 0.750)
Ag (0.750, 0.250, 0.750)
Ag (0.750, 0.750, 0.250)
Os (0.250, 0.250, 0.750)
Os (0.250, 0.750, 0.250)
Os (0.750, 0.250, 0.250)
Os (0.750, 0.750, 0.750)

Output
E_form = -0.07 eV/atom

=====

Quick rundown of E, same order as above: -5.89 -6.63 -4.91 -1.04 -6.02 -8.75 eV per atom